## A
Sr2YF after structural relaxation. Source: Alexandria, functional PBE-GGA.

## Properties
- magnetization (μB per cell) = 0.75

abc: 6.066 6.066 6.066
angles: 60.00 60.00 60.00
Element x y z (fractional)
Sr 0.250 0.250 0.250
Sr 0.750 0.750 0.750
F 0.000 0.000 0.000
Y 0.500 0.500 0.500

## B
Sr2YF after structural relaxation. Source: Alexandria, functional PBE-GGA.

## Properties
- magnetization (μB per cell) = 1.68

abc: 3.779 3.779 10.681
angles: 79.81 79.81 60.00
Element x y z (fractional)
Sr 0.887 0.887 0.338
Sr 0.113 0.113 0.662
F 0.500 0.500 0.500
Y 0.000 0.000 0.000

Stability summary: most stable B, least stable A.

## A
SrYF2 after structural relaxation. Source: Alexandria, functional PBE-GGA.

## Properties
- magnetization (μB per cell) = 2.49

abc: 4.872 4.872 4.872
angles: 60.00 60.00 60.00
Element x y z (fractional)
F 0.750 0.750 0.750
F 0.250 0.250 0.250
Sr 0.000 0.000 0.000
Y 0.500 0.500 0.500

## B
SrYF2 after structural relaxation. Source: Alexandria, functional PBE-GGA.

## Properties
- magnetization (μB per cell) = 0.53

abc: 6.724 6.724 6.724
angles: 35.52 35.52 35.52
Element x y z (fractional)
F 0.120 0.120 0.120
F 0.880 0.880 0.880
Y 0.000 0.000 0.000
Sr 0.500 0.500 0.500

Stability summary: most stable B, least stable A.